16
Lattice="6.2533 0.0000 0.0000 0.0000 6.3779 0.0836 -3.1267 -3.1220 4.4249" Properties=species:S:1:pos:R:3 comment="Na4CrRh3O8 (PBE+U, relaxed)" energy_ev_per_atom=-5.969 vol_a3_per_atom=11.1 pbc="T T T"
Na 3.1267 0.0000 0.0000
Na 1.5633 -1.5610 2.2124
Na 0.0000 0.0000 0.0000
Na -1.5633 -1.5610 2.2124
Cr 0.0000 3.1890 0.0418
Rh 3.1267 3.1890 0.0418
Rh 1.5633 1.6279 2.2542
Rh -1.5633 1.6279 2.2542
O -1.5973 1.4412 4.3556
O 0.0000 3.0360 2.0950
O 0.0000 0.2592 2.3931
O 1.5973 1.4412 4.3556
O 1.5294 1.8147 0.1529
O 3.1267 2.9967 2.1153
O 3.1267 0.2199 2.4135
O 4.7239 1.8147 0.1529